# LiAcRe2O8 PBE relaxed
# Crystal system   monoclinic
# E_form (uncorrected)   -1.992 eV/atom
# Spin magnetization   0.0 μB/cell
data_LiAcRe2O8
_cell_length_a 7.867
_cell_length_b 6.392
_cell_length_c 7.215
_cell_angle_alpha 90.00
_cell_angle_beta 94.69
_cell_angle_gamma 90.00
_symmetry_space_group_name_H-M 'C 1 2/m 1'
_symmetry_Int_Tables_number 12
loop_
_symmetry_equiv_pos_as_xyz
'x,y,z'
'-x,-y,-z'
'-x,y,-z'
'x,-y,z'
'x+1/2,y+1/2,z'
'-x+1/2,-y+1/2,-z'
'-x+1/2,y+1/2,-z'
'x+1/2,-y+1/2,z'
loop_
_atom_site_label
_atom_site_type_symbol
_atom_site_fract_x
_atom_site_fract_y
_atom_site_fract_z
Li1 Li 0.000 0.000 0.000
Ac1 Ac 0.000 0.000 0.500
Re1 Re 0.054 0.500 0.197
O1 O 0.008 0.226 0.783
O2 O 0.179 0.500 0.994
O3 O 0.183 0.500 0.421

=====

# CuPtAu6 PBE relaxed
# Final energy   -59.46 eV/cell
# Crystal system   orthorhombic
# Spin magnetization   0.0 μB/cell
data_CuPtAu6
_cell_length_a 8.093
_cell_length_b 8.101
_cell_length_c 4.181
_cell_angle_alpha 90.00
_cell_angle_beta 90.00
_cell_angle_gamma 90.00
_symmetry_space_group_name_H-M 'C m m m'
_symmetry_Int_Tables_number 65
_symmetry_space_group_name_Hall '-C 2 2'
loop_
_atom_site_label
_atom_site_type_symbol
_atom_site_fract_x
_atom_site_fract_y
_atom_site_fract_z
Cu1 Cu 0.000 0.000 0.000
Pt1 Pt 0.000 0.500 0.000
Au1 Au 0.000 0.247 0.500
Au2 Au 0.247 0.000 0.500
Au3 Au 0.250 0.250 0.000

=====

# Li2PmAg PBE relaxed
# Final energy   -47.18 eV/cell
# Crystal system   orthorhombic
# Spin magnetization   0.0 μB/cell
data_Li2PmAg
_cell_length_a 4.234
_cell_length_b 10.677
_cell_length_c 7.975
_cell_angle_alpha 90.00
_cell_angle_beta 90.00
_cell_angle_gamma 90.00
_symmetry_space_group_name_H-M 'C m c m'
_symmetry_Int_Tables_number 63
_symmetry_space_group_name_Hall '-C 2c 2'
loop_
_atom_site_label
_atom_site_type_symbol
_atom_site_fract_x
_atom_site_fract_y
_atom_site_fract_z
Li1 Li 0.000 0.152 0.054
Pm1 Pm 0.000 0.439 0.250
Ag1 Ag 0.000 0.275 0.750